Below is crystalline YAs at its relaxed geometry, with properties calculated at the GGA-PBE level.

a = 8.847 Å, b = 8.847 Å, c = 8.847 Å
α = 90.00°, β = 90.00°, γ = 90.00°
Fractional coordinates of all 16 atoms:
Y  0.346  0.346  0.346
Y  0.346  0.654  0.654
Y  0.654  0.346  0.654
Y  0.654  0.654  0.346
Y  0.846  0.846  0.846
Y  0.846  0.154  0.154
Y  0.154  0.846  0.154
Y  0.154  0.154  0.846
As  0.164  0.164  0.164
As  0.164  0.836  0.836
As  0.836  0.164  0.836
As  0.836  0.836  0.164
As  0.664  0.664  0.664
As  0.664  0.336  0.336
As  0.336  0.664  0.336
As  0.336  0.336  0.664

Values from the calculation:
Space-group type = I-43m, No. 217
ρ = 3.143 g/cm³
Fermi-level density of states = 0.000 states/eV per cell
Energy relative to the elements = -1.9 eV/f.u.

---

Below is crystalline TaHg2 at its relaxed geometry, with properties calculated at the GGA-PBE level.

a = 5.912 Å, b = 5.912 Å, c = 7.417 Å
α = 76.09°, β = 76.09°, γ = 29.99°
Fractional coordinates of all 6 atoms:
Ta  0.924  0.924  0.634
Ta  0.287  0.287  0.922
Hg  0.001  0.001  0.001
Hg  0.626  0.626  0.266
Hg  0.346  0.346  0.339
Hg  0.650  0.650  0.671

Values from the calculation:
Space-group type = Cm, No. 8
ρ = 15.407 g/cm³
Fermi-level density of states = 3.171 states/eV per cell
Energy relative to the elements = 1.1 eV/f.u.

---

Below is crystalline LiEuErCd at its relaxed geometry, with properties calculated at the GGA-PBE level.

a = 5.383 Å, b = 5.383 Å, c = 5.383 Å
α = 60.00°, β = 60.00°, γ = 60.00°
Last column: magnetic moment on the atom in μB.
Fractional coordinates of all 4 atoms:
Eu  0.000  0.000  0.000  6.86
Cd  0.250  0.250  0.250  0.01
Li  0.750  0.750  0.750  0.01
Er  0.500  0.500  0.500  0.09

Values from the calculation:
Space-group type = F-43m, No. 216
ρ = 6.604 g/cm³
Fermi-level density of states = 5.066 states/eV per cell
Energy relative to the elements = -0.4 eV/f.u.